No. 1
InF after structural relaxation, computed with PBE-GGA.

Its space group is Fddd (70). As for the calculated density: 4.7 g/cm3. The uncorrected formation energy comes out at -1646 meV/atom.

abc: 7.0049 6.2951 6.2778
angles: 67.72 56.26 56.02
Fractional coordinates of all 8 atoms:
In 0.1255 0.6245 0.6245
In 0.3755 0.8745 0.8745
In 0.6245 0.1255 0.1255
In 0.8745 0.3755 0.3755
F 0.0178 0.7322 0.0178
F 0.2678 0.9822 0.2678
F 0.7322 0.0178 0.7322
F 0.9822 0.2678 0.9822

---

No. 2
LiPm2ErTe4 after structural relaxation, computed with PBE-GGA.

Its space group is P2/m (10). As for the calculated density: 6.8 g/cm3. The value obtained for the density of states at the Fermi level is 0.4115 states/eV per atom. The uncorrected formation energy comes out at -1340 meV/atom.

abc: 7.5650 4.3608 7.6293
angles: 90.00 109.11 90.00
Fractional coordinates of all 8 atoms:
Li 0.0000 0.0000 0.0000
Pm 0.0000 0.5000 0.5000
Pm 0.5000 0.0000 0.5000
Er 0.5000 0.5000 0.0000
Te 0.2406 0.5000 0.2329
Te 0.2498 0.0000 0.7657
Te 0.7502 0.0000 0.2343
Te 0.7594 0.5000 0.7671

---

No. 3
Pm3InGa3 after structural relaxation, computed with PBE-GGA.

Its space group is C2/m (12). As for the calculated density: 7.1 g/cm3. The value obtained for the density of states at the Fermi level is 0.8462 states/eV per atom. The formation energy comes out at -582.1 meV/atom.

abc: 6.1365 6.1365 14.6074
angles: 108.55 108.55 43.09
Fractional coordinates of all 14 atoms:
Pm 0.0126 0.0126 0.3713
Pm 0.1099 0.1099 0.9279
Pm 0.2352 0.2352 0.2196
Pm 0.7648 0.7648 0.7804
Pm 0.8901 0.8901 0.0721
Pm 0.9874 0.9874 0.6287
In 0.2694 0.2694 0.6052
In 0.7306 0.7306 0.3948
Ga 0.3785 0.3785 0.4517
Ga 0.3949 0.3949 0.9247
Ga 0.4837 0.4837 0.7791
Ga 0.5163 0.5163 0.2209
Ga 0.6051 0.6051 0.0753
Ga 0.6215 0.6215 0.5483

---

No. 4
RhC3 after structural relaxation, computed with PBE-GGA.

Its energy above the lowest structure with this stoichiometry is 1167 meV per atom. Its space group is P6_3/mmc (194). As for the calculated density: 3.5 g/cm3. The value obtained for the density of states at the Fermi level is 0.0697 states/eV per atom. The formation energy comes out at 1735.2 meV/atom.

abc: 4.1442 4.1442 8.9690
angles: 90.00 90.00 120.00
Fractional coordinates of all 8 atoms:
Rh 0.3333 0.6667 0.2500
Rh 0.6667 0.3333 0.7500
C 0.2176 0.4353 0.7500
C 0.2176 0.7824 0.7500
C 0.4353 0.2176 0.2500
C 0.5647 0.7824 0.7500
C 0.7824 0.2176 0.2500
C 0.7824 0.5647 0.2500

---

No. 5
ScTa2Re after structural relaxation, computed with PBE-GGA.

Its energy above the lowest structure with this stoichiometry is 113 meV per atom. Its space group is Cmm2 (35). As for the calculated density: 13.7 g/cm3. The value obtained for the density of states at the Fermi level is 1.1458 states/eV per atom. The formation energy comes out at 17.5 meV/atom.

abc: 3.2385 4.7658 9.3482
angles: 90.00 90.00 90.00
Fractional coordinates of all 8 atoms:
Sc 0.0000 0.0000 0.0000
Sc 0.5000 0.5000 0.0000
Ta 0.0000 0.0000 0.4675
Ta 0.0000 0.5000 0.7185
Ta 0.5000 0.0000 0.7185
Ta 0.5000 0.5000 0.4675
Re 0.0000 0.5000 0.2412
Re 0.5000 0.0000 0.2412

---

No. 6
Mg2Zn5PdRh2 after structural relaxation, computed with PBE-GGA.

Its space group is P4/mbm (127). As for the calculated density: 7.2 g/cm3. The value obtained for the density of states at the Fermi level is 0.4559 states/eV per atom. The formation energy comes out at -386.8 meV/atom.

abc: 9.0045 9.0045 3.9387
angles: 90.00 90.00 90.00
Fractional coordinates of all 20 atoms:
Mg 0.1711 0.3289 0.0000
Mg 0.3289 0.8289 0.0000
Mg 0.6711 0.1711 0.0000
Mg 0.8289 0.6711 0.0000
Zn 0.0000 0.5000 0.5000
Zn 0.0707 0.8027 0.5000
Zn 0.1973 0.0707 0.5000
Zn 0.3027 0.5707 0.5000
Zn 0.4293 0.3027 0.5000
Zn 0.5000 0.0000 0.5000
Zn 0.5707 0.6973 0.5000
Zn 0.6973 0.4293 0.5000
Zn 0.8027 0.9293 0.5000
Zn 0.9293 0.1973 0.5000
Pd 0.0000 0.0000 0.0000
Pd 0.5000 0.5000 0.0000
Rh 0.1245 0.6245 0.0000
Rh 0.3755 0.1245 0.0000
Rh 0.6245 0.8755 0.0000
Rh 0.8755 0.3755 0.0000

---

No. 7
Bi2BAsSe after structural relaxation, computed with PBE-GGA.

Its space group is P4/mmm (123). As for the calculated density: 8.3 g/cm3. The value obtained for the density of states at the Fermi level is 0.4367 states/eV per atom. The uncorrected formation energy comes out at 553 meV/atom.

abc: 5.3377 5.3377 4.0796
angles: 90.00 90.00 90.00
Fractional coordinates of all 5 atoms:
Bi 0.0000 0.5000 0.0000
Bi 0.5000 0.0000 0.0000
B 0.0000 0.0000 0.0000
As 0.0000 0.0000 0.5000
Se 0.5000 0.5000 0.5000

---

No. 8
NaCeGaSn after structural relaxation, computed with PBE-GGA.

Its space group is F-43m (216). As for the calculated density: 5.8 g/cm3. The value obtained for the density of states at the Fermi level is 1.4685 states/eV per atom. The formation energy comes out at -302.0 meV/atom.

abc: 7.4029 7.4029 7.4029
angles: 90.00 90.00 90.00
Fractional coordinates of all 16 atoms:
Na 0.0000 0.0000 0.0000
Na 0.0000 0.5000 0.5000
Na 0.5000 0.0000 0.5000
Na 0.5000 0.5000 0.0000
Ce 0.0000 0.0000 0.5000
Ce 0.0000 0.5000 0.0000
Ce 0.5000 0.0000 0.0000
Ce 0.5000 0.5000 0.5000
Ga 0.2500 0.2500 0.2500
Ga 0.2500 0.7500 0.7500
Ga 0.7500 0.2500 0.7500
Ga 0.7500 0.7500 0.2500
Sn 0.2500 0.2500 0.7500
Sn 0.2500 0.7500 0.2500
Sn 0.7500 0.2500 0.2500
Sn 0.7500 0.7500 0.7500

---

No. 9
NaHfNO2 after structural relaxation, computed with PBE-GGA.

Its space group is P4/mmm (123). As for the calculated density: 5.6 g/cm3. The value obtained for the density of states at the Fermi level is 0.2218 states/eV per atom. The uncorrected formation energy comes out at -1542 meV/atom.

abc: 4.1193 4.1193 4.3423
angles: 90.00 90.00 90.00
Fractional coordinates of all 5 atoms:
Na 0.0000 0.0000 0.0000
Hf 0.5000 0.5000 0.5000
N 0.5000 0.5000 0.0000
O 0.0000 0.5000 0.5000
O 0.5000 0.0000 0.5000

---

No. 10
Y5SN4 after structural relaxation, computed with PBE-GGA.

Its space group is I4/mmm (139). As for the calculated density: 5.5 g/cm3. The value obtained for the density of states at the Fermi level is 0.1957 states/eV per atom. The uncorrected formation energy comes out at -1659 meV/atom.

abc: 12.7849 12.7849 12.7849
angles: 163.82 163.82 22.96
Fractional coordinates of all 10 atoms:
Y 0.0000 0.0000 0.0000
Y 0.2019 0.2019 0.0000
Y 0.3913 0.3913 0.0000
Y 0.6087 0.6087 0.0000
Y 0.7981 0.7981 0.0000
S 0.5000 0.5000 0.0000
N 0.1039 0.1039 0.0000
N 0.2982 0.2982 0.0000
N 0.7018 0.7018 0.0000
N 0.8961 0.8961 0.0000

---

No. 11
Ta2FePtI after structural relaxation, computed with PBE-GGA.

Its space group is P4/mmm (123). As for the calculated density: 12.3 g/cm3. The value obtained for the density of states at the Fermi level is 1.0493 states/eV per atom. The uncorrected formation energy comes out at 1152 meV/atom.

abc: 4.6279 4.6279 4.6446
angles: 90.00 90.00 90.00
Fractional coordinates of all 5 atoms:
Ta 0.0000 0.5000 0.0000
Ta 0.5000 0.0000 0.0000
Fe 0.0000 0.0000 0.0000
Pt 0.5000 0.5000 0.5000
I 0.0000 0.0000 0.5000

---

No. 12
Ni2AgCl after structural relaxation, computed with PBE-GGA.

Its energy above the lowest structure with this stoichiometry is 472 meV per atom. Its space group is Fm-3m (225). As for the calculated density: 7.3 g/cm3. The value obtained for the density of states at the Fermi level is 1.7323 states/eV per atom. The uncorrected formation energy comes out at 618 meV/atom.

abc: 6.1907 6.1907 6.1907
angles: 90.00 90.00 90.00
Fractional coordinates of all 16 atoms:
Ni 0.2500 0.2500 0.2500
Ni 0.2500 0.2500 0.7500
Ni 0.2500 0.7500 0.2500
Ni 0.2500 0.7500 0.7500
Ni 0.7500 0.2500 0.2500
Ni 0.7500 0.2500 0.7500
Ni 0.7500 0.7500 0.2500
Ni 0.7500 0.7500 0.7500
Ag 0.0000 0.0000 0.0000
Ag 0.0000 0.5000 0.5000
Ag 0.5000 0.0000 0.5000
Ag 0.5000 0.5000 0.0000
Cl 0.0000 0.0000 0.5000
Cl 0.0000 0.5000 0.0000
Cl 0.5000 0.0000 0.0000
Cl 0.5000 0.5000 0.5000

---

No. 13
Al3NO3 after structural relaxation, computed with PBE-GGA.

Its energy above the lowest structure with this stoichiometry is 0 meV per atom. Its space group is Pnma (62). As for the calculated density: 3.6 g/cm3. The value obtained for the density of states at the Fermi level is 0.0000 states/eV per atom. The uncorrected formation energy comes out at -2507 meV/atom.

abc: 5.7131 5.6629 8.0716
angles: 90.00 90.00 90.00
Fractional coordinates of all 28 atoms:
Al 0.0000 0.0000 0.0000
Al 0.0000 0.5000 0.0000
Al 0.0080 0.2500 0.3828
Al 0.2499 0.2500 0.7427
Al 0.2501 0.7500 0.2427
Al 0.4920 0.7500 0.8828
Al 0.5000 0.0000 0.5000
Al 0.5000 0.5000 0.5000
Al 0.5080 0.2500 0.1172
Al 0.7499 0.2500 0.7573
Al 0.7501 0.7500 0.2573
Al 0.9920 0.7500 0.6172
N 0.2260 0.7500 0.0087
N 0.2740 0.2500 0.5087
N 0.7260 0.7500 0.4913
N 0.7740 0.2500 0.9913
O 0.0017 0.0130 0.7535
O 0.0017 0.4870 0.7535
O 0.2411 0.2500 0.9874
O 0.2589 0.7500 0.4874
O 0.4983 0.5130 0.2535
O 0.4983 0.9870 0.2535
O 0.5017 0.0130 0.7465
O 0.5017 0.4870 0.7465
O 0.7411 0.2500 0.5126
O 0.7589 0.7500 0.0126
O 0.9983 0.5130 0.2465
O 0.9983 0.9870 0.2465

---

No. 14
YNb2B6 after structural relaxation, computed with PBE-GGA.

Its energy above the lowest structure with this stoichiometry is 0 meV per atom. Its space group is P6/mmm (191). As for the calculated density: 6.2 g/cm3. The value obtained for the density of states at the Fermi level is 0.1857 states/eV per atom. The formation energy comes out at -693.9 meV/atom.

abc: 5.4750 5.4750 3.4999
angles: 90.00 90.00 120.00
Fractional coordinates of all 9 atoms:
Y 0.0000 0.0000 0.0000
Nb 0.3333 0.6667 0.0000
Nb 0.6667 0.3333 0.0000
B 0.0000 0.3391 0.5000
B 0.0000 0.6609 0.5000
B 0.3391 0.0000 0.5000
B 0.3391 0.3391 0.5000
B 0.6609 0.0000 0.5000
B 0.6609 0.6609 0.5000

---

No. 15
PrY2Co2 after structural relaxation, computed with PBE-GGA.

Its energy above the lowest structure with this stoichiometry is 84 meV per atom. Its space group is C2/m (12). As for the calculated density: 6.1 g/cm3. The value obtained for the density of states at the Fermi level is 1.1394 states/eV per atom. The formation energy comes out at -24.1 meV/atom.

abc: 11.5952 3.7816 5.5744
angles: 90.00 103.74 90.00
Fractional coordinates of all 10 atoms:
Pr 0.0000 0.0000 0.0000
Pr 0.5000 0.5000 0.0000
Y 0.1490 0.5000 0.5803
Y 0.3510 0.0000 0.4197
Y 0.6490 0.0000 0.5803
Y 0.8510 0.5000 0.4197
Co 0.2227 0.5000 0.1003
Co 0.2773 0.0000 0.8997
Co 0.7227 0.0000 0.1003
Co 0.7773 0.5000 0.8997

---

No. 16
Sm2Ge3Ir2 after structural relaxation, computed with PBE-GGA.

Its energy above the lowest structure with this stoichiometry is 68 meV per atom. Its space group is C2/m (12). As for the calculated density: 10.9 g/cm3. The value obtained for the density of states at the Fermi level is 0.4924 states/eV per atom. The formation energy comes out at -667.9 meV/atom.

abc: 10.3764 4.2430 6.9020
angles: 90.00 115.23 90.00
Fractional coordinates of all 14 atoms:
Sm 0.1504 0.0000 0.2768
Sm 0.3496 0.5000 0.7232
Sm 0.6504 0.5000 0.2768
Sm 0.8496 0.0000 0.7232
Ge 0.0000 0.5000 0.5000
Ge 0.1243 0.5000 0.9428
Ge 0.3757 0.0000 0.0572
Ge 0.5000 0.0000 0.5000
Ge 0.6243 0.0000 0.9428
Ge 0.8757 0.5000 0.0572
Ir 0.1358 0.0000 0.7211
Ir 0.3642 0.5000 0.2789
Ir 0.6358 0.5000 0.7211
Ir 0.8642 0.0000 0.2789

---

No. 17
Na7Tl2 after structural relaxation, computed with PBE-GGA.

Its space group is P-31m (162). As for the calculated density: 3.3 g/cm3. The value obtained for the density of states at the Fermi level is 0.5160 states/eV per atom. The formation energy comes out at -38.2 meV/atom.

abc: 6.2306 6.2306 8.6187
angles: 90.00 90.00 120.00
Fractional coordinates of all 9 atoms:
Na 0.0000 0.0000 0.0000
Na 0.0000 0.3456 0.6799
Na 0.0000 0.6544 0.3201
Na 0.3456 0.0000 0.6799
Na 0.3456 0.3456 0.3201
Na 0.6544 0.0000 0.3201
Na 0.6544 0.6544 0.6799
Tl 0.3333 0.6667 0.0000
Tl 0.6667 0.3333 0.0000

---

No. 18
Na3Hg2 after structural relaxation, computed with PBE-GGA.

Its energy above the lowest structure with this stoichiometry is 66 meV per atom. Its space group is R-3c (167). As for the calculated density: 5.1 g/cm3. The value obtained for the density of states at the Fermi level is 0.3149 states/eV per atom. The formation energy comes out at -152.6 meV/atom.

abc: 8.6129 8.6129 8.6129
angles: 46.16 46.16 46.16
Fractional coordinates of all 10 atoms:
Na 0.1891 0.7500 0.3109
Na 0.2500 0.6891 0.8109
Na 0.3109 0.1891 0.7500
Na 0.6891 0.8109 0.2500
Na 0.7500 0.3109 0.1891
Na 0.8109 0.2500 0.6891
Hg 0.1866 0.1866 0.1866
Hg 0.3134 0.3134 0.3134
Hg 0.6866 0.6866 0.6866
Hg 0.8134 0.8134 0.8134

---

No. 19
ZrAs2RuSe after structural relaxation, computed with PBE-GGA.

Its energy above the lowest structure with this stoichiometry is 0 meV per atom. Its space group is P4/mmm (123). As for the calculated density: 6.3 g/cm3. The value obtained for the density of states at the Fermi level is 1.0725 states/eV per atom. The uncorrected formation energy comes out at 324 meV/atom.

abc: 4.6366 4.6366 5.1617
angles: 90.00 90.00 90.00
Fractional coordinates of all 5 atoms:
Zr 0.0000 0.0000 0.0000
As 0.0000 0.5000 0.5000
As 0.5000 0.0000 0.5000
Ru 0.5000 0.5000 0.5000
Se 0.5000 0.5000 0.0000

---

No. 20
In3NiB after structural relaxation, computed with PBE-GGA.

Its energy above the lowest structure with this stoichiometry is 0 meV per atom. Its space group is Pm-3m (221). As for the calculated density: 6.6 g/cm3. The value obtained for the density of states at the Fermi level is 0.8674 states/eV per atom. The formation energy comes out at 809.1 meV/atom.

abc: 4.7051 4.7051 4.7051
angles: 90.00 90.00 90.00
Fractional coordinates of all 5 atoms:
In 0.0000 0.0000 0.5000
In 0.0000 0.5000 0.0000
In 0.5000 0.0000 0.0000
Ni 0.5000 0.5000 0.5000
B 0.0000 0.0000 0.0000